(1)
Entry from Alexandria: Ag3SeF3 after structural relaxation (PBE).

Computed properties:
**Mass density**: 5.98 Mg/m³
**Formation energy (no corrections)**: -0.85 eV per atom
**Size of the total moment**: 0.00 μB/f.u.
**Crystal system**: monoclinic

Cell: 6.4658 6.8716 12.2271 Å, 90.00 110.14 90.00°
With the nearest neighbours (Å) after each atom.
Space group P2_1/c (No. 14)
Asymmetric unit:
Ag 0.0667 0.0795 0.3023 x4  4 F 2.41-2.60, 1 Se 2.53
Ag 0.2448 0.6001 0.5158 x4  4 F 2.28-2.51
Ag 0.4094 0.1152 0.7203 x4  4 F 2.26-2.46
Se 0.3976 0.6118 0.9291 x4  1 Se 2.35, 3 Ag 2.53-2.60
F 0.1471 0.1405 0.1171 x4  4 Ag 2.28-2.53
F 0.2446 0.0784 0.8546 x4  3 Ag 2.26-2.50
F 0.2612 0.6980 0.1682 x4  4 Ag 2.30-2.46

***

(2)
Entry from Alexandria: LiRe2 after structural relaxation (PBE).

Computed properties:
**Mass density**: 14.95 Mg/m³
**Energy above the lowest structure with this stoichiometry**: 0.000 eV per atom
**Size of the total moment**: 0.00 μB/f.u.
**Formation energy**: 0.10 eV/atom
**Crystal system**: trigonal

Cell: 4.3181 4.3181 2.6103 Å, 90.00 90.00 120.00°
With the nearest neighbours (Å) after each atom.
Space group P-3m1 (No. 164)
Asymmetric unit:
Li 0.0000 0.0000 0.0000 x1  2 Li 2.61, 6 Re 2.66
Re 0.3333 0.6667 0.3600 x2  5 Re 2.60-2.61, 3 Li 2.66

***

(3)
Entry from Alexandria: CsAsPt after structural relaxation (PBE).

Computed properties:
**Mass density**: 7.23 Mg/m³
**Energy above the lowest structure with this stoichiometry**: 0.152 eV per atom
**Size of the total moment**: 0.00 μB/f.u.
**Formation energy**: -0.40 eV/atom
**Crystal system**: hexagonal

Cell: 4.2302 4.2302 5.9697 Å, 90.00 90.00 120.00°
With the nearest neighbours (Å) after each atom.
Space group P-6m2 (No. 187)
Asymmetric unit:
Cs 0.0000 0.0000 0.0000 x1  6 As 3.86, 6 Pt 3.86, 6 Cs 4.23
As 0.6667 0.3333 0.5000 x1  3 Pt 2.44
Pt 0.3333 0.6667 0.5000 x1  3 As 2.44